The following is a PBE calculation of a relaxed structure of CsGa2Br4, from the Alexandria database.

Formation energy from raw total energies: -0.983 eV per atom
Space group: P1, No. 1
Density: 3.21 Mg/m³
Uncorrected energy: -2.926 eV per atom

Lattice parameters (Å, degrees): 9.758 9.786 8.861 67.00 75.62 115.05
Atoms (fractional coordinates):
Cs 0.918 0.006 0.032
Br 0.904 0.171 0.576
Cs 0.538 0.701 0.718
Ga 0.204 0.803 0.412
Br 0.775 0.613 0.987
Ga 0.743 0.369 0.876
Ga 0.720 0.370 0.334
Br 0.618 0.066 0.291
Br 0.247 0.229 0.176
Br 0.336 0.649 0.186
Ga 0.206 0.331 0.376
Br 0.100 0.512 0.761
Br 0.855 0.658 0.459
Br 0.336 0.272 0.564

The following is a PBE calculation of a relaxed structure of La2NiGe3, from the Alexandria database.

Space group: Pmm2, No. 25
Density: 6.82 Mg/m³
Energy above the most stable polymorph in this dataset: 0.15 eV per formula unit
Formation enthalpy at 0 K: -76 kJ per mole of atoms
Uncorrected energy: -5.697 eV per atom

Lattice parameters (Å, degrees): 4.331 4.284 7.272 90.00 90.00 90.00
Atoms (fractional coordinates):
La 0.000 0.000 0.502
Ge 0.500 0.500 0.645
Ge 0.500 0.000 0.839
La 0.000 0.500 0.004
Ni 0.500 0.500 0.321
Ge 0.500 0.000 0.189

The following is a PBE calculation of a relaxed structure of LaNb2Pd, from the Alexandria database.

Space group: Fm-3m, No. 225
Density: 9.27 Mg/m³
Energy above the most stable polymorph in this dataset: 0.05 eV per formula unit
Formation enthalpy at 0 K: 25 kJ per mole of atoms
Uncorrected energy: -7.302 eV per atom

Lattice parameters (Å, degrees): 4.781 4.781 4.781 60.00 60.00 60.00
Atoms (fractional coordinates):
Nb 0.250 0.250 0.250
Pd 0.000 0.000 0.000
La 0.500 0.500 0.500
Nb 0.750 0.750 0.750

The following is a PBE calculation of a relaxed structure of HfTi5Bi4, from the Alexandria database.

Space group: Pmmn, No. 59
Density: 9.26 Mg/m³
Formation enthalpy at 0 K: 7 kJ per mole of atoms
Uncorrected energy: -6.426 eV per atom

Lattice parameters (Å, degrees): 5.198 10.057 8.603 90.00 90.00 90.00
Atoms (fractional coordinates):
Ti 0.252 0.243 0.663
Ti 0.748 0.257 0.163
Hf 0.531 0.000 0.000
Ti 0.748 0.743 0.837
Hf 0.469 0.500 0.500
Bi 0.740 0.195 0.500
Bi 0.740 0.805 0.500
Ti 0.748 0.257 0.837
Ti 0.252 0.243 0.337
Ti 0.252 0.757 0.337
Bi 0.260 0.305 0.000
Bi 0.260 0.695 0.000
Ti 0.693 0.500 0.000
Bi 0.971 0.500 0.303
Bi 0.029 0.000 0.803
Bi 0.971 0.500 0.697
Ti 0.307 0.000 0.500
Bi 0.029 0.000 0.197
Ti 0.252 0.757 0.663
Ti 0.748 0.743 0.163

The following is a PBE calculation of a relaxed structure of CeSc2Pb, from the Alexandria database.

Space group: P4/mmm, No. 123
Density: 7.24 Mg/m³
Energy above the most stable polymorph in this dataset: 0.00 eV per formula unit
Formation enthalpy at 0 K: -23 kJ per mole of atoms
Uncorrected energy: -5.814 eV per atom

Lattice parameters (Å, degrees): 4.431 4.757 4.757 90.00 90.00 90.00
Atoms (fractional coordinates):
Ce 0.500 0.500 0.500
Pb 0.500 0.000 0.000
Sc 0.000 0.500 0.000
Sc 0.000 0.000 0.500

The following is a PBE calculation of a relaxed structure of KAc3La2Te6, from the Alexandria database.

Formation energy from raw total energies: -1.505 eV per atom
Space group: C2/m, No. 12
Density: 6.60 Mg/m³
Uncorrected energy: -5.016 eV per atom

Lattice parameters (Å, degrees): 4.685 9.467 10.522 102.60 102.86 90.00
Atoms (fractional coordinates):
Te 0.005 0.256 0.010
Te 0.330 0.909 0.660
La 0.170 0.342 0.339
Te 0.995 0.744 0.990
La 0.830 0.658 0.661
Te 0.667 0.580 0.334
K 0.500 0.000 0.000
Te 0.333 0.420 0.666
Te 0.670 0.091 0.340
Ac 0.500 0.500 0.000
Ac 0.163 0.828 0.326
Ac 0.837 0.172 0.674

The following is a PBE calculation of a relaxed structure of Pr2SnPt3, from the Alexandria database.

Space group: P6_3/mmc, No. 194
Density: 11.45 Mg/m³
Formation enthalpy at 0 K: -90 kJ per mole of atoms
Uncorrected energy: -6.214 eV per atom

Lattice parameters (Å, degrees): 4.559 4.559 15.881 90.00 90.00 120.00
Atoms (fractional coordinates):
Sn 0.667 0.333 0.750
Pt 0.667 0.333 0.250
Pt 0.333 0.667 0.001
Pr 0.000 0.000 0.121
Pt 0.667 0.333 0.501
Pr 0.000 0.000 0.379
Pr 0.000 0.000 0.879
Pr 0.000 0.000 0.621
Pt 0.333 0.667 0.499
Pt 0.667 0.333 0.999
Pt 0.333 0.667 0.750
Sn 0.333 0.667 0.250

The following is a PBE calculation of a relaxed structure of Pr3AlGe6Pd2, from the Alexandria database.

Space group: P-3m1, No. 164
Density: 6.94 Mg/m³
Formation enthalpy at 0 K: -40 kJ per mole of atoms
Uncorrected energy: -5.097 eV per atom

Lattice parameters (Å, degrees): 6.011 6.011 8.400 90.00 90.00 120.00
Atoms (fractional coordinates):
Ge 0.377 0.188 0.722
Ge 0.623 0.812 0.278
Pr 0.333 0.667 0.620
Pd 0.667 0.333 0.978
Al 0.000 0.000 0.500
Ge 0.188 0.812 0.278
Ge 0.812 0.188 0.722
Pd 0.333 0.667 0.022
Pr 0.000 0.000 0.000
Ge 0.188 0.377 0.278
Ge 0.812 0.623 0.722
Pr 0.667 0.333 0.380

The following is a PBE calculation of a relaxed structure of Al2InOs, from the Alexandria database.

Space group: F-43m, No. 216
Density: 9.09 Mg/m³
Formation enthalpy at 0 K: 29 kJ per mole of atoms
Uncorrected energy: -5.060 eV per atom

Lattice parameters (Å, degrees): 4.527 4.527 4.527 60.00 60.00 60.00
Atoms (fractional coordinates):
Al 0.000 0.000 0.000
Al 0.250 0.250 0.250
Os 0.750 0.750 0.750
In 0.500 0.500 0.500

The following is a PBE calculation of a relaxed structure of La2ReRh, from the Alexandria database.

Space group: I-42d, No. 122
Density: 10.03 Mg/m³
Energy above the most stable polymorph in this dataset: 1.65 eV per formula unit
Formation enthalpy at 0 K: 31 kJ per mole of atoms
Uncorrected energy: -7.089 eV per atom

Lattice parameters (Å, degrees): 7.723 7.723 6.304 52.22 52.22 90.00
Atoms (fractional coordinates):
La 0.618 0.125 0.250
La 0.132 0.625 0.250
Rh 0.500 0.500 0.000
Re 0.750 0.250 0.500
La 0.875 0.868 0.750
Re 0.000 0.000 0.000
Rh 0.250 0.750 0.500
La 0.375 0.382 0.750

The following is a PBE calculation of a relaxed structure of CrGe2Au, from the Alexandria database.

Space group: I-42d, No. 122
Density: 8.84 Mg/m³
Energy above the most stable polymorph in this dataset: 0.20 eV per formula unit
Formation enthalpy at 0 K: 32 kJ per mole of atoms
Uncorrected energy: -5.203 eV per atom

Lattice parameters (Å, degrees): 7.294 7.294 5.860 51.51 51.51 90.00
Atoms (fractional coordinates):
Au 0.000 0.000 0.000
Ge 0.875 0.880 0.750
Ge 0.120 0.625 0.250
Ge 0.375 0.370 0.750
Cr 0.500 0.500 0.000
Au 0.750 0.250 0.500
Cr 0.250 0.750 0.500
Ge 0.630 0.125 0.250

The following is a PBE calculation of a relaxed structure of Y2TmPuS6, from the Alexandria database.

Formation energy from raw total energies: -1.921 eV per atom
Space group: R3, No. 146
Density: 5.07 Mg/m³
Uncorrected energy: -7.570 eV per atom

Lattice parameters (Å, degrees): 6.911 6.911 7.378 62.07 62.07 60.00
Atoms (fractional coordinates):
S 0.714 0.120 0.755
S 0.120 0.411 0.755
S 0.218 0.921 0.250
Pu 0.816 0.816 0.553
Tm 0.317 0.317 0.048
S 0.611 0.218 0.250
S 0.411 0.714 0.755
Y 0.016 0.016 0.952
S 0.921 0.611 0.250
Y 0.517 0.517 0.449

Among the records above, which one has the highest density?
Pr2SnPt3

density of number 3 (LaNb2Pd)?
9.27 Mg/m³

What is the uncorrected energy in the second record?
-5.697 eV per atom